Material: ScTlMo2O8
Method: DFT, PBE+U
State: relaxed

Values from the calculation:
Its space-group type is No. 164. The total energy comes out at -86.240 eV per formula unit. The value obtained for the offset from the most stable computed form is 0.000 eV per atom. The density of states at the Fermi level is 0.00 states/eV per cell. As for the crystal system: trigonal.

Cell lengths 5.898, 5.898, 7.662 Å; angles 90.00, 90.00, 120.00 degrees
Positions (direct):
Sc 0.000 0.000 0.000
Tl 0.000 0.000 0.500
Mo 0.333 0.667 0.761
Mo 0.667 0.333 0.239
O 0.165 0.330 0.836
O 0.165 0.835 0.836
O 0.330 0.165 0.164
O 0.333 0.667 0.533
O 0.667 0.333 0.467
O 0.670 0.835 0.836
O 0.835 0.165 0.164
O 0.835 0.670 0.164